Record 1
A geometry-optimized K3Zn5F12 structure, computed with PBE.

Unit cell a=13.592 b=13.592 c=13.592 alpha=90.00 beta=90.00 gamma=90.00
Space group Ia-3d (No. 230)
One atom of each set of equivalent atoms:
K 0.000 0.250 0.125 x24
Zn 0.000 0.000 0.000 x16
Zn 0.000 0.250 0.375 x24
F 0.035 0.046 0.645 x96

Results
DOS at the Fermi energy, states/eV per cell: 9.995
Raw total energy, eV for the cell shown: -634.56

Record 2
A geometry-optimized K6ZnF12 structure, computed with PBE.

Unit cell a=11.0381 b=11.0381 c=10.4417 alpha=90.00 beta=90.00 gamma=120.00
Space group R-3 (No. 148, hexagonal axes)
One atom of each set of equivalent atoms:
K 0.0580 0.4859 0.3284 x18
Zn 0.0000 0.0000 0.0000 x3
F 0.0354 0.1672 0.8953 x18
F 0.0681 0.4946 0.0595 x18

Results
DOS at the Fermi energy, states/eV per cell: 20.342
Raw total energy, eV for the cell shown: -212.81

Record 3
A geometry-optimized K2Zn3F8 structure, computed with PBE.

Unit cell a=12.518 b=6.456 c=5.461 alpha=90.00 beta=109.49 gamma=90.00
Space group C2/m (No. 12)
One atom of each set of equivalent atoms:
K 0.223 0.000 0.170 x4
Zn 0.000 0.240 0.500 x4
Zn 0.000 0.500 0.000 x2
F 0.092 0.283 0.882 x8
F 0.092 0.500 0.404 x4
F 0.102 0.000 0.472 x4

Results
DOS at the Fermi energy, states/eV per cell: 0.000
ΔE to the lowest computed polymorph, meV per atom: 0.0
Raw total energy, eV for the cell shown: -106.86

Record 4
A geometry-optimized KZnF4 structure, computed with PBE.

Unit cell a=5.400 b=5.487 c=7.119 alpha=112.62 beta=112.06 gamma=90.01
Space group P-1 (No. 2)
One atom of each set of equivalent atoms:
K 0.250 0.234 0.001 x2
Zn 0.000 0.500 0.500 x1
Zn 0.500 0.000 0.500 x1
F 0.182 0.584 0.809 x2
F 0.241 0.846 0.574 x2
F 0.259 0.272 0.426 x2
F 0.318 0.775 0.191 x2

Results
DOS at the Fermi energy, states/eV per cell: 5.914
Raw total energy, eV for the cell shown: -45.14

Record 5
A geometry-optimized KZnF3 structure, computed with PBE.

Unit cell a=4.129 b=4.129 c=4.129 alpha=90.00 beta=90.00 gamma=90.00
Space group Pm-3m (No. 221)
One atom of each set of equivalent atoms:
K 0.000 0.000 0.000 x1
Zn 0.500 0.500 0.500 x1
F 0.000 0.500 0.500 x3

Results
DOS at the Fermi energy, states/eV per cell: 0.000
Raw total energy, eV for the cell shown: -20.80

Record 6
A geometry-optimized K4ZnF5 structure, computed with PBE.

Unit cell a=8.318 b=8.318 c=5.503 alpha=90.00 beta=90.00 gamma=90.00
Space group I4 (No. 79)
One atom of each set of equivalent atoms:
K 0.099 0.705 0.000 x8
Zn 0.000 0.000 0.497 x2
F 0.000 0.000 0.859 x2
F 0.092 0.712 0.500 x8

Results
DOS at the Fermi energy, states/eV per cell: 2.681
Raw total energy, eV for the cell shown: -77.49

Record 7
A geometry-optimized KZnF3 structure, computed with PBE.

Unit cell a=11.447 b=11.038 c=5.317 alpha=90.00 beta=91.47 gamma=90.00
Space group C2/c (No. 15)
One atom of each set of equivalent atoms:
K 0.218 0.109 0.321 x8
Zn 0.000 0.216 0.750 x4
Zn 0.000 0.426 0.250 x4
F 0.080 0.289 0.461 x8
F 0.105 0.448 0.954 x8
F 0.133 0.118 0.848 x8

Results
DOS at the Fermi energy, states/eV per cell: 0.000
Raw total energy, eV for the cell shown: -164.50

Record 8
A geometry-optimized KZnF3 structure, computed with PBE.

Unit cell a=4.454 b=5.713 c=6.219 alpha=90.00 beta=95.81 gamma=90.00
Space group P2_1/m (No. 11)
One atom of each set of equivalent atoms:
K 0.183 0.250 0.395 x2
Zn 0.414 0.750 0.082 x2
F 0.266 0.508 0.858 x4
F 0.282 0.750 0.368 x2

Results
DOS at the Fermi energy, states/eV per cell: 0.000
Raw total energy, eV for the cell shown: -40.81